First-principles (PBE) data for an optimized crystal structure of Pa3MnSi3Tc2, as listed in the Alexandria database.

Cell: 3.965 6.806 6.806 Å, 120.00 90.00 90.00°
Fractional positions:
Pa: 0.000 0.000 0.413
Pa: 0.000 0.587 0.587
Pa: 0.000 0.413 0.000
Mn: 0.000 0.000 0.000
Si: 0.500 0.773 0.000
Si: 0.500 0.227 0.227
Si: 0.500 0.000 0.773
Tc: 0.500 0.333 0.667
Tc: 0.500 0.667 0.333

Summary:
**VASP energy**: -8.843 eV per atom